Density functional theory data (PBE-GGA) for an optimized crystal structure of Pm4MgZn2Hg.

Geometry as CIF:
```
data_Pm4MgZn2Hg
_chemical_formula_sum 'Pm12 Mg3 Zn6 Hg3'
_symmetry_space_group_name_H-M 'R -3 m'
_symmetry_Int_Tables_number 166
_symmetry_space_group_name_Hall '-R 3 2"'
_cell_length_a 5.2884
_cell_length_b 5.2884
_cell_length_c 26.1257
_cell_angle_alpha 90.00
_cell_angle_beta 90.00
_cell_angle_gamma 120.00
loop_
_atom_site_label
_atom_site_fract_x
_atom_site_fract_y
_atom_site_fract_z
_atom_site_occupancy
Pm1 0.0000 0.0000 0.1236 1
Pm2 0.0000 0.0000 0.3744 1
Mg1 0.0000 0.0000 0.5000 1
Zn1 0.0000 0.0000 0.2432 1
Hg1 0.0000 0.0000 0.0000 1
```

Values from the calculation:
**M_tot**: 0.00 μB per formula unit
**ΔE_f**: -290 meV/atom
**Raw total energy**: -77.30 eV for the cell shown